# ZnGa2Au3 PBE optimized geometry
# Distance to the lowest polymorph of the same formula (kcal/mol of atoms): 0.00
# ΔH_f (0 K) (eV/atom): -0.20
data_ZnGa2Au3
_chemical_formula_sum 'Zn2 Ga4 Au6'
_space_group_name_H-M_alt 'P m m n'
_space_group_IT_number 59
_cell_length_a 3.447
_cell_length_b 11.427
_cell_length_c 5.341
_cell_angle_alpha 90.00
_cell_angle_beta 90.00
_cell_angle_gamma 90.00
loop_
_space_group_symop_operation_xyz
'x,y,z'
'-x,-y,-z'
'-x+1/2,-y+1/2,z'
'x+1/2,y+1/2,-z'
'x+1/2,-y,-z'
'-x+1/2,y,z'
'-x,y+1/2,-z'
'x,-y+1/2,z'
loop_
_atom_site_label
_atom_site_type_symbol
_atom_site_fract_x
_atom_site_fract_y
_atom_site_fract_z
_atom_site_occupancy
Zn1 Zn 0.250 0.250 0.151 1
Ga1 Ga 0.250 0.588 0.153 1
Au1 Au 0.250 0.250 0.656 1
Au2 Au 0.250 0.582 0.663 1


# La2H2Ir PBE optimized geometry
# Distance to the lowest polymorph of the same formula (kcal/mol of atoms): 5.67
data_La2H2Ir
_chemical_formula_sum 'La4 H4 Ir2'
_space_group_name_H-M_alt 'P 4/m b m'
_space_group_IT_number 127
_space_group_name_Hall '-P 4 2ab'
_cell_length_a 7.131
_cell_length_b 7.131
_cell_length_c 3.274
_cell_angle_alpha 90.00
_cell_angle_beta 90.00
_cell_angle_gamma 90.00
loop_
_atom_site_label
_atom_site_type_symbol
_atom_site_fract_x
_atom_site_fract_y
_atom_site_fract_z
_atom_site_occupancy
La1 La 0.183 0.317 0.000 1
H1 H 0.112 0.612 0.500 1
Ir1 Ir 0.000 0.000 0.500 1


# NaAgSn PBE optimized geometry
# ΔH_f (0 K) (eV/atom): -0.15
data_NaAgSn
_chemical_formula_sum 'Na1 Ag1 Sn1'
_space_group_name_H-M_alt 'P -6 m 2'
_space_group_IT_number 187
_space_group_name_Hall 'P -6 2'
_cell_length_a 4.9529
_cell_length_b 4.9529
_cell_length_c 3.2724
_cell_angle_alpha 90.00
_cell_angle_beta 90.00
_cell_angle_gamma 120.00
loop_
_atom_site_label
_atom_site_type_symbol
_atom_site_fract_x
_atom_site_fract_y
_atom_site_fract_z
_atom_site_occupancy
Na1 Na 0.0000 0.0000 0.0000 1
Ag1 Ag 0.6667 0.3333 0.5000 1
Sn1 Sn 0.3333 0.6667 0.5000 1


# AlRh2N PBE optimized geometry
# Formation energy without anion corrections (meV/atom): 106
# Distance to the lowest polymorph of the same formula (kcal/mol of atoms): 0.00
data_AlRh2N
_chemical_formula_sum 'Al4 Rh8 N4'
_space_group_name_H-M_alt 'I -4 2 d'
_space_group_IT_number 122
_space_group_name_Hall 'I -4 2bw'
_cell_length_a 5.204
_cell_length_b 5.204
_cell_length_c 9.374
_cell_angle_alpha 90.00
_cell_angle_beta 90.00
_cell_angle_gamma 90.00
loop_
_atom_site_label
_atom_site_type_symbol
_atom_site_fract_x
_atom_site_fract_y
_atom_site_fract_z
_atom_site_occupancy
Al1 Al 0.000 0.000 0.000 1
Rh1 Rh 0.160 0.250 0.625 1
N1 N 0.000 0.000 0.500 1


# SnHgBi PBE optimized geometry
# Distance to the lowest polymorph of the same formula (kcal/mol of atoms): 1.95
# ΔH_f (0 K) (eV/atom): 0.12
data_SnHgBi
_chemical_formula_sum 'Sn4 Hg4 Bi4'
_space_group_name_H-M_alt 'C 1 2/m 1'
_space_group_IT_number 12
_cell_length_a 7.020
_cell_length_b 8.991
_cell_length_c 7.031
_cell_angle_alpha 90.00
_cell_angle_beta 117.07
_cell_angle_gamma 90.00
loop_
_space_group_symop_operation_xyz
'x,y,z'
'-x,-y,-z'
'-x,y,-z'
'x,-y,z'
'x+1/2,y+1/2,z'
'-x+1/2,-y+1/2,-z'
'-x+1/2,y+1/2,-z'
'x+1/2,-y+1/2,z'
loop_
_atom_site_label
_atom_site_type_symbol
_atom_site_fract_x
_atom_site_fract_y
_atom_site_fract_z
_atom_site_occupancy
Sn1 Sn 0.231 0.000 0.249 1
Hg1 Hg 0.000 0.250 0.500 1
Bi1 Bi 0.238 0.000 0.814 1


# La3TbPr2As6 PBE optimized geometry
# ΔH_f (0 K) (eV/atom): -1.54
data_La3TbPr2As6
_chemical_formula_sum 'La6 Tb2 Pr4 As12'
_space_group_name_H-M_alt 'C 1 2/m 1'
_space_group_IT_number 12
_cell_length_a 18.804
_cell_length_b 4.317
_cell_length_c 8.630
_cell_angle_alpha 90.00
_cell_angle_beta 103.29
_cell_angle_gamma 90.00
loop_
_space_group_symop_operation_xyz
'x,y,z'
'-x,-y,-z'
'-x,y,-z'
'x,-y,z'
'x+1/2,y+1/2,z'
'-x+1/2,-y+1/2,-z'
'-x+1/2,y+1/2,-z'
'x+1/2,-y+1/2,z'
loop_
_atom_site_label
_atom_site_type_symbol
_atom_site_fract_x
_atom_site_fract_y
_atom_site_fract_z
_atom_site_occupancy
La1 La 0.000 0.000 0.000 1
La2 La 0.167 0.500 0.334 1
Tb1 Tb 0.000 0.000 0.500 1
Pr1 Pr 0.166 0.500 0.832 1
As1 As 0.000 0.500 0.258 1
As2 As 0.163 0.000 0.583 1
As3 As 0.167 0.000 0.082 1


# UTlInBr6 PBE optimized geometry
# Formation energy without anion corrections (meV/atom): -1088
data_UTlInBr6
_chemical_formula_sum 'U2 Tl2 In2 Br12'
_space_group_name_H-M_alt 'P -3 1 c'
_space_group_IT_number 163
_space_group_name_Hall '-P 3 2c'
_cell_length_a 8.0405
_cell_length_b 8.0405
_cell_length_c 13.3691
_cell_angle_alpha 90.00
_cell_angle_beta 90.00
_cell_angle_gamma 120.00
loop_
_atom_site_label
_atom_site_type_symbol
_atom_site_fract_x
_atom_site_fract_y
_atom_site_fract_z
_atom_site_occupancy
U1 U 0.3333 0.6667 0.2500 1
Tl1 Tl 0.0000 0.0000 0.0000 1
In1 In 0.3333 0.6667 0.7500 1
Br1 Br 0.0458 0.3838 0.1304 1


# DyBe2BIr PBE optimized geometry
# ΔH_f (0 K) (eV/atom): -0.42
data_DyBe2BIr
_chemical_formula_sum 'Dy2 Be4 B2 Ir2'
_space_group_name_H-M_alt 'I m m 2'
_space_group_IT_number 44
_cell_length_a 3.559
_cell_length_b 3.650
_cell_length_c 9.971
_cell_angle_alpha 90.00
_cell_angle_beta 90.00
_cell_angle_gamma 90.00
loop_
_space_group_symop_operation_xyz
'x,y,z'
'-x,-y,z'
'-x,y,z'
'x,-y,z'
'x+1/2,y+1/2,z+1/2'
'-x+1/2,-y+1/2,z+1/2'
'-x+1/2,y+1/2,z+1/2'
'x+1/2,-y+1/2,z+1/2'
loop_
_atom_site_label
_atom_site_type_symbol
_atom_site_fract_x
_atom_site_fract_y
_atom_site_fract_z
_atom_site_occupancy
Dy1 Dy 0.000 0.000 0.000 1
Be1 Be 0.000 0.000 0.624 1
Be2 Be 0.000 0.500 0.266 1
B1 B 0.000 0.000 0.383 1
Ir1 Ir 0.000 0.500 0.761 1


What did the second record say?
# La2H2Ir PBE optimized geometry
# Distance to the lowest polymorph of the same formula (kcal/mol of atoms): 5.67
data_La2H2Ir
_chemical_formula_sum 'La4 H4 Ir2'
_space_group_name_H-M_alt 'P 4/m b m'
_space_group_IT_number 127
_space_group_name_Hall '-P 4 2ab'
_cell_length_a 7.131
_cell_length_b 7.131
_cell_length_c 3.274
_cell_angle_alpha 90.00
_cell_angle_beta 90.00
_cell_angle_gamma 90.00
loop_
_atom_site_label
_atom_site_type_symbol
_atom_site_fract_x
_atom_site_fract_y
_atom_site_fract_z
_atom_site_occupancy
La1 La 0.183 0.317 0.000 1
H1 H 0.112 0.612 0.500 1
Ir1 Ir 0.000 0.000 0.500 1